1.
Computed, not measured: crystalline Zr3As at its relaxed geometry at the PBE level of DFT.

a b c (Å): 3.5044 3.5044 25.4159
angles (deg): 90.00 90.00 120.00
Space group R-3m (No. 166, hexagonal axes)
Unique sites:
Zr1 0.0000 0.0000 0.0000
Zr2 0.0000 0.0000 0.2362
As1 0.0000 0.0000 0.5000

* energy of formation from the pure elements: -1.7 eV/f.u.

2.
Computed, not measured: crystalline MgSiPb3 at its relaxed geometry at the PBE level of DFT.

a b c (Å): 5.453 5.453 5.453
angles (deg): 90.00 90.00 90.00
Space group Pm-3m (No. 221)
Unique sites:
Mg1 0.000 0.000 0.000
Si1 0.500 0.500 0.500
Pb1 0.000 0.000 0.500

* raw formation energy: 0.768 eV per atom
* relative energy among the computed polymorphs: 259.9 meV/atom

Density of states at the Fermi level (states/eV/atom)
1.019, 0.907